[1]
Below is an optimized crystal structure of Ac2Pm3Y4, with properties calculated at the PBE level.

Energy of formation in eV per atom: 0.078
E above lowest polymorph in meV per atom: 0.0

Structure (CIF):
```
data_Ac2Pm3Y4
_cell_length_a 3.7191
_cell_length_b 3.7191
_cell_length_c 27.1917
_cell_angle_alpha 90.00
_cell_angle_beta 90.00
_cell_angle_gamma 120.00
_symmetry_space_group_name_H-M 'P 3 m 1'
_symmetry_Int_Tables_number 156
_symmetry_space_group_name_Hall 'P 3 -2"'
loop_
_atom_site_label
_atom_site_fract_x
_atom_site_fract_y
_atom_site_fract_z
Ac1 0.0000 0.0000 0.0000
Ac2 0.0000 0.0000 0.2309
Pm1 0.0000 0.0000 0.7817
Pm2 0.3333 0.6667 0.1180
Pm3 0.3333 0.6667 0.4662
Y1 0.0000 0.0000 0.3624
Y2 0.0000 0.0000 0.5732
Y3 0.3333 0.6667 0.6757
Y4 0.3333 0.6667 0.8873
```

---

[2]
Below is an optimized crystal structure of AcPmY2, with properties calculated at the PBE level.

Energy of formation in eV per atom: 0.101
E above lowest polymorph in meV per atom: 64.7

Structure (CIF):
```
data_AcPmY2
_cell_length_a 8.321
_cell_length_b 8.321
_cell_length_c 8.321
_cell_angle_alpha 90.00
_cell_angle_beta 90.00
_cell_angle_gamma 90.00
_symmetry_space_group_name_H-M 'F m -3 m'
_symmetry_Int_Tables_number 225
_symmetry_space_group_name_Hall '-F 4 2 3'
loop_
_atom_site_label
_atom_site_fract_x
_atom_site_fract_y
_atom_site_fract_z
Ac1 0.000 0.000 0.000
Pm1 0.000 0.000 0.500
Y1 0.250 0.250 0.250
```

---

[3]
Below is an optimized crystal structure of Ac6Pm3Y2, with properties calculated at the PBE level.

Energy of formation in eV per atom: 0.045

Structure (CIF):
```
data_Ac6Pm3Y2
_cell_length_a 6.618
_cell_length_b 8.543
_cell_length_c 8.562
_cell_angle_alpha 107.18
_cell_angle_beta 97.48
_cell_angle_gamma 104.91
_symmetry_space_group_name_H-M 'P -1'
_symmetry_Int_Tables_number 2
_symmetry_space_group_name_Hall '-P 1'
loop_
_atom_site_label
_atom_site_fract_x
_atom_site_fract_y
_atom_site_fract_z
Ac1 0.053 0.181 0.405
Ac2 0.136 0.549 0.233
Ac3 0.322 0.267 0.869
Pm1 0.408 0.643 0.684
Pm2 0.500 0.000 0.500
Y1 0.233 0.914 0.047
```

---

[4]
Below is an optimized crystal structure of AcPm6Y5, with properties calculated at the PBE level.

Energy of formation in eV per atom: 0.027
E above lowest polymorph in meV per atom: 2.6

Structure (CIF):
```
data_AcPm6Y5
_cell_length_a 12.083
_cell_length_b 10.955
_cell_length_c 6.307
_cell_angle_alpha 90.00
_cell_angle_beta 100.19
_cell_angle_gamma 90.00
_symmetry_space_group_name_H-M 'C 1 2/m 1'
_symmetry_Int_Tables_number 12
_symmetry_space_group_name_Hall '-C 2y'
loop_
_atom_site_label
_atom_site_fract_x
_atom_site_fract_y
_atom_site_fract_z
Ac1 0.000 0.000 0.000
Pm1 0.247 0.332 0.750
Pm2 0.248 0.500 0.254
Y1 0.000 0.171 0.500
Y2 0.000 0.336 0.000
Y3 0.000 0.500 0.500
```

---

no.,spin magnetization (Bohr magnetons per cell),calculated volume (A^3/atom)
1,0.23,36.19
2,0.00,36.01
3,0.00,39.61
4,0.00,34.24